Entry 1:
DFT (PBE) results for a relaxed Hf3CdPb crystal.

Cell: 5.1834 5.1834 5.1834 Å, 90.00 90.00 90.00°
Closest atoms and distances in Å follow each position.
Fractional positions:
Hf1 0.0000 0.5000 0.0000  2 Cd 2.59
Hf2 0.5000 0.0000 0.0000  2 Cd 2.59
Hf3 0.0000 0.0000 0.5000  2 Cd 2.59
Pb1 0.5000 0.5000 0.5000  12 Hf 3.67
Cd1 0.0000 0.0000 0.0000  6 Hf 2.59

Computed properties:
Energy above the lowest structure with this stoichiometry = 0.0 meV/atom
Space-group type = No. 221
Calculated density = 10.2 Mg/m³
Calculated formation energy = 1.01 eV/atom
Total magnetization = 0.000 μB per cell

***

Entry 2:
DFT (PBE) results for a relaxed HfTaCdPb2 crystal.

Cell: 5.2979 5.3214 5.2979 Å, 90.00 90.00 90.00°
Closest atoms and distances in Å follow each position.
Fractional positions:
Ta1 0.0000 0.5000 0.0000  2 Cd 2.66
Pb1 0.0000 0.0000 0.5000  2 Cd 2.65
Cd1 0.0000 0.0000 0.0000  4 Pb 2.65, 2 Ta 2.66
Pb2 0.5000 0.0000 0.0000  2 Cd 2.65
Hf1 0.5000 0.5000 0.5000  4 Ta 3.75, 8 Pb 3.75

Computed properties:
Space-group type = No. 123
Calculated density = 9.9 Mg/m³
Calculated formation energy = 1.57 eV/atom
Total magnetization = 0.000 μB per cell